Density functional theory data (GGA-PBE) for a relaxed PuSn2Pd crystal.

## Properties
space-group type	P4/mmm
raw total energy	-7.295	eV per atom
magnetic moment	1.531	μB per atom

Unit cell a=3.376 b=3.376 c=7.787 alpha=90.00 beta=90.00 gamma=90.00
Positions (direct):
1 Pu 0.000 0.000 0.000
2 Sn 0.500 0.500 0.290
3 Sn 0.500 0.500 0.710
4 Pd 0.000 0.000 0.500